Entry 1:
Below is a geometry-optimized CsCrIr3 structure, with properties calculated at the GGA-PBE level.

Cell: 4.703 4.703 4.703 Å, 90.00 90.00 90.00°
Sites, in units of the cell vectors:
Cs1 0.000 0.000 0.000
Cr1 0.500 0.500 0.500
Ir1 0.000 0.500 0.500
Ir2 0.500 0.000 0.500
Ir3 0.500 0.500 0.000

Results
V: 104.0 Å³ per cell
space group: Pm-3m
density of states at the Fermi level: 3.96 states/eV/f.u.
ΔH_f (0 K): 1337 meV per atom

=====

Entry 2:
Below is a geometry-optimized CsLiCrIr2 structure, with properties calculated at the GGA-PBE level.

Cell: 4.510 4.510 4.625 Å, 90.00 90.00 90.00°
Sites, in units of the cell vectors:
Cs1 0.000 0.000 0.000
Li1 0.500 0.500 0.500
Cr1 0.500 0.500 0.000
Ir1 0.000 0.500 0.500
Ir2 0.500 0.000 0.500

Results
V: 94.1 Å³ per cell
space group: P4/mmm
density of states at the Fermi level: 8.37 states/eV/f.u.
ΔH_f (0 K): 1767 meV per atom

=====

Entry 3:
Below is a geometry-optimized CsMgCrIr2 structure, with properties calculated at the GGA-PBE level.

Cell: 4.768 4.768 5.312 Å, 90.00 90.00 90.00°
Sites, in units of the cell vectors:
Cs1 0.000 0.000 0.000
Mg1 0.000 0.000 0.500
Cr1 0.500 0.500 0.000
Ir1 0.000 0.500 0.500
Ir2 0.500 0.000 0.500

Results
V: 120.8 Å³ per cell
space group: P4/mmm
density of states at the Fermi level: 5.10 states/eV/f.u.
ΔH_f (0 K): 2177 meV per atom

=====

Among the records above, which one has the highest ΔH_f (0 K)?
CsMgCrIr2